The following is a PBE calculation of an optimized crystal structure of ThCoPd, from Alexandria.

Results
- calculated formation energy (eV/atom) = -0.255
- symmetry = I4mm
- DFT total energy (eV per atom) = -6.828

Unit cell a=5.1453 b=5.1453 c=5.1453 alpha=139.21 beta=139.21 gamma=59.05
Element x y z (fractional)
Th1 0.0000 0.0000 0.0000
Co1 0.6417 0.6417 0.0000
Pd1 0.3194 0.3194 0.0000